# 1
# KCd12In7

A geometry-optimized KCd12In7 structure (PBE, Alexandria).

## Properties
* magnetization: 0.0 μB/cell
* energy: -30.7 eV/cell
* formation enthalpy at 0 K: 0.0274 eV per atom

Unit cell a=9.2680 b=9.2680 c=9.2680 alpha=112.48 beta=112.48 gamma=112.48
Closest atoms and distances in Å follow each position.
Element x y z (fractional)
1 K 0.0000 0.0000 0.0000  12 Cd 3.74-4.03, 8 In 3.89-3.97
2 Cd 0.0000 0.2612 0.7388  4 Cd 3.00-3.23, 4 In 3.10-3.27
3 Cd 0.0000 0.7388 0.2612  4 Cd 3.00-3.23, 4 In 3.10-3.27
4 Cd 0.0516 0.3932 0.3932  3 Cd 2.94-3.00, 3 In 3.07
5 Cd 0.2612 0.0000 0.7388  4 Cd 3.00-3.23, 4 In 3.10-3.27
6 Cd 0.2612 0.7388 0.0000  4 Cd 3.00-3.23, 4 In 3.10-3.27
7 Cd 0.3932 0.0516 0.3932  3 Cd 2.94-3.00, 3 In 3.07
8 Cd 0.3932 0.3932 0.0516  3 Cd 2.94-3.00, 3 In 3.07
9 Cd 0.6068 0.6068 0.9484  3 Cd 2.94-3.00, 3 In 3.07
10 Cd 0.6068 0.9484 0.6068  3 Cd 2.94-3.00, 3 In 3.07
11 Cd 0.7388 0.0000 0.2612  4 Cd 3.00-3.23, 4 In 3.10-3.27
12 Cd 0.7388 0.2612 0.0000  4 Cd 3.00-3.23, 4 In 3.10-3.27
13 Cd 0.9484 0.6068 0.6068  3 Cd 2.94-3.00, 3 In 3.07
14 In 0.2120 0.2120 0.5548  7 Cd 3.07-3.27, 1 In 3.34
15 In 0.2120 0.5548 0.2120  7 Cd 3.07-3.27, 1 In 3.34
16 In 0.4452 0.7880 0.7880  7 Cd 3.07-3.27, 1 In 3.34
17 In 0.5000 0.5000 0.5000  6 In 3.34, 6 Cd 3.49
18 In 0.5548 0.2120 0.2120  7 Cd 3.07-3.27, 1 In 3.34
19 In 0.7880 0.4452 0.7880  7 Cd 3.07-3.27, 1 In 3.34
20 In 0.7880 0.7880 0.4452  7 Cd 3.07-3.27, 1 In 3.34


# 2
# PrTmW2N6

A geometry-optimized PrTmW2N6 structure (PBE, Alexandria).

## Properties
* magnetization: 0.0 μB/cell
* energy: -189.1 eV/cell

Unit cell a=7.5268 b=7.5268 c=6.4755 alpha=107.91 beta=107.91 gamma=80.95
Closest atoms and distances in Å follow each position.
Element x y z (fractional)
1 Pr 0.0976 0.9024 0.7500  6 N 2.39-2.62
2 Pr 0.9024 0.0976 0.2500  6 N 2.39-2.62
3 Tm 0.2855 0.7145 0.2500  6 N 2.31-2.49
4 Tm 0.7145 0.2855 0.7500  6 N 2.31-2.49
5 W 0.2059 0.3767 0.7986  4 N 1.80-1.96
6 W 0.3767 0.2059 0.2986  4 N 1.80-1.96
7 W 0.6233 0.7941 0.7014  4 N 1.80-1.96
8 W 0.7941 0.6233 0.2014  4 N 1.80-1.96
9 N 0.9999 0.2300 0.6699  1 W 1.87
10 N 0.0001 0.7700 0.3301  1 W 1.87
11 N 0.1284 0.6214 0.8590  1 W 1.80
12 N 0.2300 0.9999 0.1699  1 W 1.87
13 N 0.3298 0.3686 0.1000  2 W 1.90-1.96
14 N 0.3686 0.3298 0.6000  2 W 1.90-1.96
15 N 0.3786 0.8716 0.6410  1 W 1.80
16 N 0.6214 0.1284 0.3590  1 W 1.80
17 N 0.6314 0.6702 0.4000  2 W 1.90-1.96
18 N 0.6702 0.6314 0.9000  2 W 1.90-1.96
19 N 0.7700 0.0001 0.8301  1 W 1.87
20 N 0.8716 0.3786 0.1410  1 W 1.80


# 3
# YScNiAg2

A geometry-optimized YScNiAg2 structure (PBE, Alexandria).

## Properties
* magnetization: 0.0 μB/cell
* energy: -22.5 eV/cell
* formation enthalpy at 0 K: 0.3539 eV per atom

Unit cell a=5.0324 b=5.0324 c=4.4922 alpha=90.00 beta=90.00 gamma=90.00
Closest atoms and distances in Å follow each position.
Element x y z (fractional)
1 Y 0.0000 0.0000 0.0000  8 Ag 3.37, 4 Ni 3.56
2 Sc 0.5000 0.5000 0.5000  2 Ni 2.25
3 Ni 0.5000 0.5000 0.0000  2 Sc 2.25
4 Ag 0.0000 0.5000 0.5000  2 Sc 2.52
5 Ag 0.5000 0.0000 0.5000  2 Sc 2.52